# 1
The following is a DFT calculation (PBE) of an optimized crystal structure of SrScCd17.

For the total magnetic moment, the calculation gives 0.00 Bohr magnetons per cell. The energy of formation comes out at -1.80 eV per formula unit.

The space group is R3m (No. 160, hexagonal axes) and the conventional cell measures 10.0903, 10.0903 and 15.1748 Å, with angles of 90.00, 90.00 and 120.00 degrees. The inequivalent atoms are Sr at (0.0000, 0.0000, 0.0000), Sc at (0.0000, 0.0000, 0.6535), Cd at (0.0000, 0.0000, 0.2460), Cd at (0.0000, 0.0000, 0.4405), Cd at (0.0035, 0.3013, 0.3330), Cd at (0.0266, 0.5133, 0.1941), Cd at (0.0357, 0.5179, 0.8262) and Cd at (0.0754, 0.5377, 0.4779).

---

# 2
The following is a DFT calculation (PBE) of an optimized crystal structure of ZnPd5Au2.

For the total magnetic moment, the calculation gives 0.00 Bohr magnetons per cell. The energy of formation comes out at -1.53 eV per formula unit.

The space group is Pbam (No. 55) and the conventional cell measures 5.664, 11.308 and 3.955 Å, with angles of 90.00, 90.00 and 90.00 degrees. The inequivalent atoms are Zn at (0.000, 0.000, 0.000), Pd at (0.000, 0.500, 0.000), Pd at (0.005, 0.247, 0.000), Pd at (0.241, 0.879, 0.500) and Au at (0.244, 0.626, 0.500).

---

# 3
The following is a DFT calculation (PBE) of an optimized crystal structure of K3Bi2Pt2.

For the total magnetic moment, the calculation gives 0.00 Bohr magnetons per cell. The energy of formation comes out at -1.77 eV per formula unit.

The space group is Pbcm (No. 57) and the conventional cell measures 6.784, 9.053 and 15.561 Å, with angles of 90.00, 90.00 and 90.00 degrees. The inequivalent atoms are K at (0.121, 0.142, 0.117), K at (0.334, 0.703, 0.750), Bi at (0.363, 0.011, 0.588), Pt at (0.227, 0.045, 0.750) and Pt at (0.466, 0.750, 0.000).

---

# 4
The following is a DFT calculation (PBE) of an optimized crystal structure of Zr6Fe2Rh.

For the total magnetic moment, the calculation gives 0.00 Bohr magnetons per cell. The energy of formation comes out at -2.30 eV per formula unit.

The space group is Immm (No. 71) and the conventional cell measures 8.404, 8.784 and 9.398 Å, with angles of 90.00, 90.00 and 90.00 degrees. The inequivalent atoms are Zr at (0.000, 0.200, 0.224), Zr at (0.198, 0.318, 0.500), Zr at (0.206, 0.500, 0.168), Fe at (0.000, 0.343, 0.000), Fe at (0.000, 0.500, 0.360), Rh at (0.000, 0.000, 0.000) and Rh at (0.000, 0.000, 0.500).